(1)
Density functional theory data (PBE-GGA) for a geometry-optimized CaCe2Hg5 structure.

space group	I4/mmm
ΔE_f	-0.340	eV/atom

CIF file:
```
data_CaCe2Hg5
_cell_length_a 5.043
_cell_length_b 5.043
_cell_length_c 8.990
_cell_angle_alpha 106.29
_cell_angle_beta 106.29
_cell_angle_gamma 90.00
_symmetry_space_group_name_H-M 'P 1'
_symmetry_Int_Tables_number 1
loop_
_symmetry_equiv_pos_as_xyz
'x,y,z'
loop_
_atom_site_label
_atom_site_fract_x
_atom_site_fract_y
_atom_site_fract_z
Hg1 0.123 0.623 0.245
Hg2 0.500 0.500 0.000
Hg3 0.377 0.877 0.755
Hg4 0.623 0.123 0.245
Hg5 0.877 0.377 0.755
Ce1 0.260 0.260 0.521
Ce2 0.740 0.740 0.479
Ca1 0.000 0.000 0.000
```


(2)
Density functional theory data (PBE-GGA) for a geometry-optimized CaCeInHg structure.

space group	F-43m
ΔE_f	-0.424	eV/atom

CIF file:
```
data_CaCeInHg
_cell_length_a 5.439
_cell_length_b 5.439
_cell_length_c 5.439
_cell_angle_alpha 60.00
_cell_angle_beta 60.00
_cell_angle_gamma 60.00
_symmetry_space_group_name_H-M 'P 1'
_symmetry_Int_Tables_number 1
loop_
_symmetry_equiv_pos_as_xyz
'x,y,z'
loop_
_atom_site_label
_atom_site_fract_x
_atom_site_fract_y
_atom_site_fract_z
Ca1 0.750 0.750 0.750
Hg1 0.500 0.500 0.500
In1 0.000 0.000 0.000
Ce1 0.250 0.250 0.250
```


(3)
Density functional theory data (PBE-GGA) for a geometry-optimized CaCe2In2Hg2 structure.

space group	R-3m
ΔE_f	-0.249	eV/atom

CIF file:
```
data_CaCe2In2Hg2
_cell_length_a 4.873
_cell_length_b 4.873
_cell_length_c 9.801
_cell_angle_alpha 75.61
_cell_angle_beta 75.61
_cell_angle_gamma 60.00
_symmetry_space_group_name_H-M 'P 1'
_symmetry_Int_Tables_number 1
loop_
_symmetry_equiv_pos_as_xyz
'x,y,z'
loop_
_atom_site_label
_atom_site_fract_x
_atom_site_fract_y
_atom_site_fract_z
Ce1 0.857 0.857 0.429
Ce2 0.143 0.143 0.571
In1 0.266 0.266 0.201
In2 0.734 0.734 0.799
Hg1 0.574 0.574 0.278
Hg2 0.426 0.426 0.722
Ca1 0.000 0.000 0.000
```